Compound: ZrCrCo2I
Source: Alexandria
Functional: GGA-PBE
Structure: relaxed

It has space group P4/mmm (No. 123), with a = 4.280 Å, b = 4.280 Å, c = 4.927 Å, α = 90.00°, β = 90.00° and γ = 90.00°. The asymmetric unit holds Zr at (0.000, 0.000, 0.000), Cr at (0.500, 0.500, 0.500), Co at (0.000, 0.500, 0.500) and I at (0.500, 0.500, 0.000).

For the total energy, the calculation gives -5.809 eV/atom. The calculation puts the raw formation energy at 0.978 eV per atom.